1.
CuRhW2: relaxed, PBE.

## Properties
- Energy of formation: 0.202 eV per atom
- Crystal system: monoclinic
- Energy above the most stable polymorph in this dataset: 113 meV/atom

Unit cell a=9.347 b=2.896 c=4.521 alpha=90.00 beta=103.54 gamma=90.00
Space group C2/m (No. 12)
Asymmetric unit:
Cu 0.000 0.000 0.000 (multiplicity 2)
Rh 0.000 0.500 0.500 (multiplicity 2)
W 0.249 0.000 0.746 (multiplicity 4)

---

2.
SrZn2RhBr: relaxed, PBE.

## Properties
- Crystal system: tetragonal
- Raw formation energy: 0.799 eV/atom

Unit cell a=6.069 b=6.069 c=5.086 alpha=90.00 beta=90.00 gamma=90.00
Space group P4/mmm (No. 123)
Asymmetric unit:
Sr 0.000 0.000 0.000 (multiplicity 1)
Zn 0.000 0.500 0.000 (multiplicity 2)
Rh 0.000 0.000 0.500 (multiplicity 1)
Br 0.500 0.500 0.500 (multiplicity 1)

---

3.
NiRhC: relaxed, PBE.

## Properties
- Energy of formation: 0.332 eV per atom
- Crystal system: trigonal
- Energy above the most stable polymorph in this dataset: 20 meV/atom

Unit cell a=2.7697 b=2.7697 c=14.2298 alpha=90.00 beta=90.00 gamma=120.00
Space group R3m (No. 160, hexagonal axes)
Asymmetric unit:
Ni 0.0000 0.0000 0.0000 (multiplicity 3)
Rh 0.0000 0.0000 0.1760 (multiplicity 3)
C 0.0000 0.0000 0.7455 (multiplicity 3)

---

4.
KMnCl2: relaxed, PBE.

## Properties
- Crystal system: orthorhombic
- Raw formation energy: -0.987 eV/atom
- Energy above the most stable polymorph in this dataset: 0 meV/atom

Unit cell a=3.992 b=5.083 c=5.087 alpha=90.00 beta=90.00 gamma=90.00
Space group Pmm2 (No. 25)
Asymmetric unit:
K 0.000 0.000 0.000 (multiplicity 1)
Mn 0.500 0.500 0.502 (multiplicity 1)
Cl 0.500 0.000 0.500 (multiplicity 1)
Cl 0.500 0.500 0.001 (multiplicity 1)

---

M_tot for every record listed, in sequence, given in μB per atom: 0.000, 0.044, 0.000, 1.069.